Tb2InHg5: relaxed, PBE.

```
data_Tb2InHg5
_symmetry_space_group_name_H-M 'P 1'
_symmetry_Int_Tables_number 1
_cell_length_a 7.898
_cell_length_b 7.898
_cell_length_c 7.898
_cell_angle_alpha 139.98
_cell_angle_beta 139.98
_cell_angle_gamma 57.88
loop_
_symmetry_equiv_pos_as_xyz
'x,y,z'
loop_
_atom_site_label
_atom_site_fract_x
_atom_site_fract_y
_atom_site_fract_z
Tb1 0.249 0.249 0.000
Tb2 0.751 0.751 0.000
In1 0.000 0.000 0.000
Hg1 0.125 0.625 0.500
Hg2 0.375 0.875 0.500
Hg3 0.500 0.500 0.000
Hg4 0.625 0.125 0.500
Hg5 0.875 0.375 0.500
```

Properties
SG = I4/mmm, No. 139
M_tot = 0.153 μB per formula unit
Total energy = -1.95 eV/atom
DFT formation energy = -0.26 eV per atom

MnRuAuCS: relaxed, PBE.

```
data_MnRuAuCS
_symmetry_space_group_name_H-M 'P 1'
_symmetry_Int_Tables_number 1
_cell_length_a 5.331
_cell_length_b 2.886
_cell_length_c 5.871
_cell_angle_alpha 90.00
_cell_angle_beta 95.98
_cell_angle_gamma 90.00
loop_
_symmetry_equiv_pos_as_xyz
'x,y,z'
loop_
_atom_site_label
_atom_site_fract_x
_atom_site_fract_y
_atom_site_fract_z
Mn1 0.000 0.000 0.000
Ru1 0.508 0.000 0.027
Au1 0.276 0.500 0.368
C1 0.758 0.500 0.037
S1 0.222 0.500 0.781
```

Properties
SG = Pm, No. 6
Distance to the lowest polymorph of the same formula = 129 meV/atom
M_tot = 2.202 μB per formula unit
Total energy = -6.75 eV/atom
Formation energy from raw total energies = 0.263 eV per atom

Q: Number 1 is which compound?
A: Tb2InHg5